PBE-GGA Li3PrTe3, relaxed; ΔE_f (raw) = -1176 meV per atom; calculated volume = 29.5 Å³/atom
1.0
4.009 2.314 7.416
-4.009 2.314 7.416
0.000 -4.629 7.416
Li Pr Te
6 2 6
Cartesian
-2.707 0.139 10.129
-1.474 -2.275 12.118
1.234 -2.414 10.129
-1.234 2.414 12.118
1.474 2.275 10.129
2.707 -0.139 12.118
0.000 0.000 7.432
0.000 0.000 14.815
-1.422 -2.206 9.280
-2.621 0.129 12.967
-1.199 2.334 9.280
1.199 -2.334 12.967
2.621 -0.129 9.280
1.422 2.206 12.967